# KGa3 | Alexandria via LeMat-Bulk | PBE-GGA | optimized geometry
# - space group = No. 59
# - formation energy (meV per atom) = -103
# - VASP energy (eV per cell) = -21.2
data_KGa3
_symmetry_space_group_name_H-M 'P 1'
_symmetry_Int_Tables_number 1
_cell_length_a 4.148
_cell_length_b 5.910
_cell_length_c 8.096
_cell_angle_alpha 90.00
_cell_angle_beta 90.00
_cell_angle_gamma 90.00
loop_
_symmetry_equiv_pos_as_xyz
'x,y,z'
loop_
_atom_site_label
_atom_site_type_symbol
_atom_site_fract_x
_atom_site_fract_y
_atom_site_fract_z
_atom_site_occupancy
Ga1 Ga 0.500 0.000 0.783 1
Ga2 Ga 0.500 0.224 0.110 1
Ga3 Ga 0.000 0.724 0.890 1
Ga4 Ga 0.500 0.776 0.110 1
Ga5 Ga 0.000 0.276 0.890 1
Ga6 Ga 0.000 0.500 0.217 1
K1 K 0.000 0.000 0.429 1
K2 K 0.500 0.500 0.571 1